An optimized crystal structure of SrAl2SnBr, computed with PBE-GGA.

Unit cell a=6.1541 b=6.1541 c=5.5244 alpha=90.00 beta=90.00 gamma=90.00
Fractional positions:
1 Sr 0.0000 0.0000 0.0000
2 Al 0.0000 0.5000 0.0000
3 Al 0.5000 0.0000 0.0000
4 Sn 0.5000 0.5000 0.5000
5 Br 0.0000 0.0000 0.5000

Results
* symmetry: No. 123
* formation energy (no corrections): 59.3 kJ per mole of atoms
* uncorrected energy: -2.35 eV per atom
* volume: 209 Å³ per cell

***

An optimized crystal structure of Ti2AlSnBr, computed with PBE-GGA.

Unit cell a=5.2820 b=5.2820 c=5.5868 alpha=90.00 beta=90.00 gamma=90.00
Fractional positions:
1 Ti 0.0000 0.5000 0.0000
2 Ti 0.5000 0.0000 0.0000
3 Al 0.0000 0.0000 0.5000
4 Sn 0.5000 0.5000 0.0000
5 Br 0.5000 0.5000 0.5000

Results
* symmetry: No. 123
* formation energy (no corrections): 102.4 kJ per mole of atoms
* uncorrected energy: -3.98 eV per atom
* volume: 156 Å³ per cell

***

An optimized crystal structure of ZrAlSnBr2, computed with PBE-GGA.

Unit cell a=5.5125 b=5.5125 c=5.9289 alpha=90.00 beta=90.00 gamma=90.00
Fractional positions:
1 Zr 0.0000 0.0000 0.0000
2 Al 0.5000 0.5000 0.0000
3 Sn 0.0000 0.0000 0.5000
4 Br 0.0000 0.5000 0.5000
5 Br 0.5000 0.0000 0.5000

Results
* symmetry: No. 123
* formation energy (no corrections): 59.5 kJ per mole of atoms
* uncorrected energy: -3.31 eV per atom
* volume: 180 Å³ per cell

***

An optimized crystal structure of SrAl2Br, computed with PBE-GGA.

Unit cell a=6.1173 b=6.1173 c=3.6962 alpha=90.00 beta=90.00 gamma=122.92
Fractional positions:
1 Sr 0.0000 0.0000 0.0000
2 Al 0.0000 0.5000 0.5000
3 Al 0.5000 0.0000 0.5000
4 Br 0.5000 0.5000 0.0000

Results
* symmetry: No. 65
* formation energy (no corrections): -9.1 kJ per mole of atoms
* uncorrected energy: -2.80 eV per atom
* polymorph energy (0 for the lowest one): 41.0 kJ/mol of atoms
* volume: 116 Å³ per cell

***

An optimized crystal structure of SrAl3Br, computed with PBE-GGA.

Unit cell a=5.3963 b=5.3963 c=5.3963 alpha=90.00 beta=90.00 gamma=90.00
Fractional positions:
1 Sr 0.0000 0.0000 0.0000
2 Al 0.0000 0.5000 0.5000
3 Al 0.5000 0.0000 0.5000
4 Al 0.5000 0.5000 0.0000
5 Br 0.5000 0.5000 0.5000

Results
* symmetry: No. 221
* formation energy (no corrections): 37.7 kJ per mole of atoms
* uncorrected energy: -2.53 eV per atom
* polymorph energy (0 for the lowest one): 0.0 kJ/mol of atoms
* volume: 157 Å³ per cell

***

An optimized crystal structure of SrAlBr2, computed with PBE-GGA.

Unit cell a=7.2939 b=7.2939 c=4.6776 alpha=108.65 beta=108.65 gamma=32.67
Fractional positions:
1 Sr 0.0000 0.0000 0.0000
2 Al 0.7711 0.7711 0.2711
3 Br 0.3207 0.3207 0.8214
4 Br 0.5542 0.5542 0.5538

Results
* symmetry: No. 8
* formation energy (no corrections): -87.0 kJ per mole of atoms
* uncorrected energy: -3.09 eV per atom
* polymorph energy (0 for the lowest one): 6.0 kJ/mol of atoms
* volume: 127 Å³ per cell

***

Which of these has the highest uncorrected energy? SrAl2SnBr

***

Look up the volume of the second one. 156 Å³ per cell

***

Among the records above, which one has the lowest formation energy (no corrections)? SrAlBr2